{
  "formula": "Ho3ThSc6",
  "functional": "PBE",
  "state": "relaxed",
  "cell": [[8.531, 0.000, 0.000], [0.000, 8.424, -1.026], [0.000, -2.880, 7.983]],
  "species": ["Ho", "Ho", "Ho", "Ho", "Ho", "Ho", "Th", "Th", "Sc", "Sc", "Sc", "Sc", "Sc", "Sc", "Sc", "Sc", "Sc", "Sc", "Sc", "Sc"],
  "frac_coords": [[0.495, 0.828, 0.706], [0.995, 0.706, 0.828], [0.314, 0.452, 0.548], [0.814, 0.548, 0.452], [0.995, 0.172, 0.294], [0.495, 0.294, 0.172], [0.072, 0.277, 0.723], [0.572, 0.723, 0.277], [0.168, 0.826, 0.528], [0.668, 0.528, 0.826], [0.328, 0.677, 0.973], [0.828, 0.973, 0.677], [0.182, 0.059, 0.941], [0.436, 0.226, 0.774], [0.936, 0.774, 0.226], [0.682, 0.941, 0.059], [0.328, 0.027, 0.323], [0.828, 0.323, 0.027], [0.168, 0.472, 0.174], [0.668, 0.174, 0.472]],
  "density_g_cm3": 6.03,
  "ef_mev_per_atom": 145.9,
  "space_group": "Cmc2_1",
  "energy_ev_per_atom": -5.7684,
  "n_ef_per_ev_fu": 13.5,
  "relative_energy_kj_per_mol_atoms": 0.00
}